No. 1
Below is an optimized crystal structure of Ca2Pu2N5, with properties calculated at the GGA-PBE level.

abc: 11.7617 6.4104 6.4282
angles: 90.00 90.00 90.00
Space group Cmce (No. 64)
Symmetry-distinct sites (fractional):
Ca (0.2088, 0.0000, 0.0000) (multiplicity 8)
Pu (0.0000, 0.1702, 0.3318) (multiplicity 8)
N (0.0000, 0.0000, 0.0000) (multiplicity 4)
N (0.1194, 0.1587, 0.6552) (multiplicity 16)

Computed properties:
- size of the total moment (μB per atom) = 0.555
- D(E_F) (states/eV/atom) = 0.86

=====

No. 2
Below is an optimized crystal structure of TaCoMo, with properties calculated at the GGA-PBE level.

abc: 9.3444 4.3758 5.3656
angles: 90.00 124.75 90.00
Space group Cm (No. 8)
Symmetry-distinct sites (fractional):
Ta (0.0000, 0.0000, 0.0000) (multiplicity 2)
Ta (0.1591, 0.5000, 0.5084) (multiplicity 2)
Co (0.0056, 0.0000, 0.5111) (multiplicity 2)
Co (0.3203, 0.0000, 0.5115) (multiplicity 2)
Mo (0.1704, 0.5000, 0.0179) (multiplicity 2)
Mo (0.3339, 0.0000, 0.0247) (multiplicity 2)

Computed properties:
- offset from the most stable computed form (eV/atom) = 0.190
- size of the total moment (μB per atom) = 0.237
- D(E_F) (states/eV/atom) = 1.06
- E_form (eV/atom) = 0.05

=====

No. 3
Below is an optimized crystal structure of KSrZn2, with properties calculated at the GGA-PBE level.

abc: 4.0769 5.6083 10.9387
angles: 90.00 90.00 90.00
Space group Imm2 (No. 44)
Symmetry-distinct sites (fractional):
K (0.0000, 0.0000, 0.0000) (multiplicity 2)
Sr (0.0000, 0.5000, 0.8004) (multiplicity 2)
Zn (0.0000, 0.0000, 0.5814) (multiplicity 2)
Zn (0.0000, 0.5000, 0.2216) (multiplicity 2)

Computed properties:
- offset from the most stable computed form (eV/atom) = 0.000
- size of the total moment (μB per atom) = 0.000
- D(E_F) (states/eV/atom) = 0.82
- E_form (eV/atom) = 0.04

=====

No. 4
Below is an optimized crystal structure of ZrBr2Cl, with properties calculated at the GGA-PBE level.

abc: 4.6670 4.6670 8.0707
angles: 90.00 90.00 90.00
Space group I-4m2 (No. 119)
Symmetry-distinct sites (fractional):
Zr (0.0000, 0.0000, 0.0000) (multiplicity 2)
Br (0.0000, 0.0000, 0.5000) (multiplicity 2)
Br (0.0000, 0.5000, 0.7500) (multiplicity 2)
Cl (0.0000, 0.5000, 0.2500) (multiplicity 2)

Computed properties:
- offset from the most stable computed form (eV/atom) = 0.890
- size of the total moment (μB per atom) = 0.248
- D(E_F) (states/eV/atom) = 0.41

=====

No. 5
Below is an optimized crystal structure of BaGaCu2Se4, with properties calculated at the GGA-PBE level.

abc: 6.7912 6.7912 8.6273
angles: 90.00 90.00 90.00
Space group I-42m (No. 121)
Symmetry-distinct sites (fractional):
Ba (0.0000, 0.0000, 0.0000) (multiplicity 2)
Ga (0.0000, 0.0000, 0.5000) (multiplicity 2)
Cu (0.0000, 0.5000, 0.2500) (multiplicity 4)
Se (0.2014, 0.2014, 0.3268) (multiplicity 8)

Computed properties:
- size of the total moment (μB per atom) = 0.000
- D(E_F) (states/eV/atom) = 0.46

=====

No. 6
Below is an optimized crystal structure of LiNp3Sc3Se8, with properties calculated at the GGA-PBE level.

abc: 7.9119 7.9119 19.4907
angles: 90.00 90.00 120.00
Space group R-3m (No. 166, hexagonal axes)
Symmetry-distinct sites (fractional):
Li (0.0000, 0.0000, 0.0000) (multiplicity 3)
Np (0.0000, 0.5000, 0.5000) (multiplicity 9)
Sc (0.0000, 0.5000, 0.0000) (multiplicity 9)
Se (0.0000, 0.0000, 0.2560) (multiplicity 6)
Se (0.0066, 0.5033, 0.2541) (multiplicity 18)

Computed properties:
- size of the total moment (μB per atom) = 0.853
- D(E_F) (states/eV/atom) = 2.24

=====

No. 7
Below is an optimized crystal structure of AlFeBr2, with properties calculated at the GGA-PBE level.

abc: 3.5316 6.2222 9.0195
angles: 90.00 90.00 90.00
Space group Cmmm (No. 65)
Symmetry-distinct sites (fractional):
Al (0.0000, 0.0000, 0.0000) (multiplicity 2)
Fe (0.0000, 0.0000, 0.5000) (multiplicity 2)
Br (0.0000, 0.5000, 0.2987) (multiplicity 4)

Computed properties:
- offset from the most stable computed form (eV/atom) = 0.453
- size of the total moment (μB per atom) = 0.841
- D(E_F) (states/eV/atom) = 0.77

=====

No. 8
Below is an optimized crystal structure of BeSiSb4, with properties calculated at the GGA-PBE level.

abc: 8.6527 8.6527 8.6527
angles: 90.00 90.00 90.00
Space group F-43m (No. 216)
Symmetry-distinct sites (fractional):
Be (0.0000, 0.0000, 0.0000) (multiplicity 4)
Si (0.2500, 0.2500, 0.2500) (multiplicity 4)
Sb (0.1250, 0.1250, 0.6250) (multiplicity 16)

Computed properties:
- size of the total moment (μB per atom) = 0.000
- D(E_F) (states/eV/atom) = 0.64

=====

No. 9
Below is an optimized crystal structure of Pm7HoSc4, with properties calculated at the GGA-PBE level.

abc: 6.1401 7.0785 8.6979
angles: 90.01 103.60 90.00
Space group P-1 (No. 2)
Symmetry-distinct sites (fractional):
Pm (0.0000, 0.0000, 0.0000) (multiplicity 1)
Pm (0.2232, 0.4994, 0.6639) (multiplicity 2)
Pm (0.2875, 0.7552, 0.3398) (multiplicity 2)
Pm (0.4967, 0.2432, 0.0089) (multiplicity 2)
Ho (0.0000, 0.5000, 0.0000) (multiplicity 1)
Sc (0.2136, 0.0010, 0.6589) (multiplicity 2)
Sc (0.2721, 0.2415, 0.3367) (multiplicity 2)

Computed properties:
- size of the total moment (μB per atom) = 0.000
- D(E_F) (states/eV/atom) = 1.35
- E_form (eV/atom) = 0.03

=====

No. 10
Below is an optimized crystal structure of Zr2Ta2S7, with properties calculated at the GGA-PBE level.

abc: 3.4311 13.5091 8.1987
angles: 90.00 90.00 90.00
Space group Imm2 (No. 44)
Symmetry-distinct sites (fractional):
Zr (0.0000, 0.0000, 0.0000) (multiplicity 2)
Zr (0.0000, 0.5000, 0.0579) (multiplicity 2)
Ta (0.0000, 0.2765, 0.8405) (multiplicity 4)
S (0.0000, 0.1421, 0.5101) (multiplicity 4)
S (0.0000, 0.1842, 0.1235) (multiplicity 4)
S (0.0000, 0.3838, 0.3243) (multiplicity 4)
S (0.0000, 0.5000, 0.7407) (multiplicity 2)

Computed properties:
- size of the total moment (μB per atom) = 0.000
- D(E_F) (states/eV/atom) = 0.41

=====

No. 11
Below is an optimized crystal structure of Tl2PtW, with properties calculated at the GGA-PBE level.

abc: 6.8782 6.8782 6.8782
angles: 90.00 90.00 90.00
Space group F-43m (No. 216)
Symmetry-distinct sites (fractional):
Tl (0.0000, 0.0000, 0.0000) (multiplicity 4)
Tl (0.2500, 0.2500, 0.2500) (multiplicity 4)
Pt (0.2500, 0.2500, 0.7500) (multiplicity 4)
W (0.0000, 0.0000, 0.5000) (multiplicity 4)

Computed properties:
- offset from the most stable computed form (eV/atom) = 0.573
- size of the total moment (μB per atom) = 0.527
- D(E_F) (states/eV/atom) = 0.58
- E_form (eV/atom) = 0.91

=====

No. 12
Below is an optimized crystal structure of MnRe2Sb, with properties calculated at the GGA-PBE level.

abc: 9.1190 3.0493 4.6882
angles: 90.00 100.97 90.00
Space group Cm (No. 8)
Symmetry-distinct sites (fractional):
Mn (0.0000, 0.0000, 0.0000) (multiplicity 2)
Re (0.2468, 0.5000, 0.2460) (multiplicity 2)
Re (0.4873, 0.0000, 0.4518) (multiplicity 2)
Sb (0.2435, 0.0000, 0.7513) (multiplicity 2)

Computed properties:
- size of the total moment (μB per atom) = 0.683
- D(E_F) (states/eV/atom) = 1.08

=====

| no. | raw total energy (eV per atom) |
| --- | --- |
| 1 | -9.143 |
| 2 | -9.881 |
| 3 | -1.296 |
| 4 | -3.964 |
| 5 | -4.120 |
| 6 | -7.202 |
| 7 | -3.710 |
| 8 | -3.307 |
| 9 | -5.229 |
| 10 | -7.366 |
| 11 | -5.018 |
| 12 | -9.118 |